# BeCoI2O (PBEsol, relaxed)
data_BeCoI2O
_cell_length_a 2.946
_cell_length_b 5.738
_cell_length_c 5.738
_cell_angle_alpha 90.00
_cell_angle_beta 90.00
_cell_angle_gamma 90.00
_symmetry_space_group_name_H-M 'P 1'
_symmetry_Int_Tables_number 1
_symmetry_space_group_name_Hall 'P 1'
loop_
_atom_site_label
_atom_site_type_symbol
_atom_site_fract_x
_atom_site_fract_y
_atom_site_fract_z
Co1 Co 0.500 0.500 0.500
I1 I 0.000 0.000 0.500
I2 I 0.000 0.500 0.000
O1 O 0.500 0.000 0.000
Be1 Be 0.000 0.000 0.000
# - ΔE_f (raw): -0.80 eV/f.u.
# - Space group: P4/mmm (123)
# - Calculated total energy: -4.2646 eV per atom
# - Total magnetization: 2.117 μB per formula unit